Record 1
{"formula": "RbBaTeBr", "functional": "PBE-GGA", "state": "optimized geometry", "lattice_angstrom": [[2.516, 1.452, 8.262], [-2.516, 1.452, 8.262], [0.000, -2.905, 8.262]], "species": ["Rb", "Ba", "Te", "Br"], "fractional_positions": [[0.000, 0.000, 0.000], [0.494, 0.494, 0.494], [0.756, 0.756, 0.756], [0.240, 0.240, 0.240]], "e_form_raw_ev_per_atom": -1.686, "dos_ef_per_ev_fu": 0.00, "vol_a3_per_cell": 181.1, "final_energy_ev_per_atom": -3.612}

***

Record 2
{"formula": "Pm2Pr6DyTh", "functional": "PBE-GGA", "state": "optimized geometry", "lattice_angstrom": [[4.672, -7.609, 0.000], [4.672, 7.609, 0.000], [-1.712, 0.000, 9.912]], "species": ["Pm", "Pm", "Pm", "Pm", "Pr", "Pr", "Pr", "Pr", "Pr", "Pr", "Pr", "Pr", "Pr", "Pr", "Pr", "Pr", "Dy", "Dy", "Th", "Th"], "fractional_positions": [[0.194, 0.284, 0.047], [0.284, 0.194, 0.547], [0.716, 0.806, 0.453], [0.806, 0.716, 0.953], [0.012, 0.578, 0.189], [0.110, 0.749, 0.555], [0.251, 0.890, 0.945], [0.300, 0.505, 0.380], [0.422, 0.988, 0.311], [0.495, 0.700, 0.120], [0.505, 0.300, 0.880], [0.578, 0.012, 0.689], [0.700, 0.495, 0.620], [0.749, 0.110, 0.055], [0.890, 0.251, 0.445], [0.988, 0.422, 0.811], [0.406, 0.594, 0.750], [0.594, 0.406, 0.250], [0.021, 0.979, 0.250], [0.979, 0.021, 0.750]], "dos_ef_per_ev_fu": 14.54, "vol_a3_per_cell": 704.8, "delta_e_f_ev_per_atom": 0.141, "final_energy_ev_per_atom": -4.879}

***

Record 3
{"formula": "Tb4CdCu", "functional": "PBE-GGA", "state": "optimized geometry", "lattice_angstrom": [[6.295, 0.000, 0.000], [0.000, 8.956, 0.000], [-1.711, 0.000, 5.785]], "species": ["Tb", "Tb", "Tb", "Tb", "Tb", "Tb", "Tb", "Tb", "Cd", "Cd", "Cu", "Cu"], "fractional_positions": [[0.108, 0.168, 0.121], [0.108, 0.332, 0.621], [0.372, 0.656, 0.924], [0.372, 0.844, 0.424], [0.628, 0.156, 0.576], [0.628, 0.344, 0.076], [0.892, 0.668, 0.379], [0.892, 0.832, 0.879], [0.500, 0.000, 0.000], [0.500, 0.500, 0.500], [0.000, 0.000, 0.500], [0.000, 0.500, 0.000]], "dos_ef_per_ev_fu": 5.89, "vol_a3_per_cell": 326.1, "e_above_lowest_polymorph_ev_per_atom": 0.157, "delta_e_f_ev_per_atom": 0.006, "final_energy_ev_per_atom": -3.916}

***

Record 4
{"formula": "YAl2P", "functional": "PBE-GGA", "state": "optimized geometry", "lattice_angstrom": [[2.166, 1.250, 5.057], [-2.166, 1.250, 5.057], [0.000, -2.501, 5.057]], "species": ["Y", "Al", "Al", "P"], "fractional_positions": [[0.000, 0.000, 0.000], [0.209, 0.209, 0.209], [0.791, 0.791, 0.791], [0.500, 0.500, 0.500]], "dos_ef_per_ev_fu": 1.49, "vol_a3_per_cell": 82.2, "delta_e_f_ev_per_atom": -0.217, "final_energy_ev_per_atom": -5.057}

***

Record 5
{"formula": "TbZnBi2", "functional": "PBE-GGA", "state": "optimized geometry", "lattice_angstrom": [[2.178, 1.258, 7.166], [-2.178, 1.258, 7.166], [0.000, -2.515, 7.166]], "species": ["Tb", "Zn", "Bi", "Bi"], "fractional_positions": [[0.000, 0.000, 0.000], [0.500, 0.500, 0.500], [0.241, 0.241, 0.241], [0.759, 0.759, 0.759]], "dos_ef_per_ev_fu": 2.33, "vol_a3_per_cell": 117.8, "e_above_lowest_polymorph_ev_per_atom": 0.177, "delta_e_f_ev_per_atom": -0.144, "final_energy_ev_per_atom": -3.561}

***

Record 6
{"formula": "TbAlS2", "functional": "PBE-GGA", "state": "optimized geometry", "lattice_angstrom": [[1.796, 1.037, 8.058], [-1.796, 1.037, 8.058], [0.000, -2.074, 8.058]], "species": ["Tb", "Al", "S", "S"], "fractional_positions": [[0.000, 0.000, 0.000], [0.500, 0.500, 0.500], [0.113, 0.113, 0.113], [0.887, 0.887, 0.887]], "e_form_raw_ev_per_atom": -0.951, "dos_ef_per_ev_fu": 1.98, "vol_a3_per_cell": 90.1, "final_energy_ev_per_atom": -5.108}

***

Record 7
{"formula": "TlTeBr2", "functional": "PBE-GGA", "state": "optimized geometry", "lattice_angstrom": [[-2.173, 2.173, 7.534], [2.173, -2.173, 7.534], [2.173, 2.173, -7.534]], "species": ["Tl", "Te", "Br", "Br"], "fractional_positions": [[0.000, 0.000, 0.000], [0.750, 0.250, 0.500], [0.250, 0.750, 0.500], [0.500, 0.500, 0.000]], "e_form_raw_ev_per_atom": -0.204, "dos_ef_per_ev_fu": 3.31, "vol_a3_per_cell": 142.2, "e_above_lowest_polymorph_ev_per_atom": 0.106, "final_energy_ev_per_atom": -2.417}

***

Record 8
{"formula": "MgNb5O9", "functional": "PBE-GGA", "state": "optimized geometry", "lattice_angstrom": [[5.410, 0.000, 0.000], [-2.705, 4.685, 0.000], [0.000, 0.000, 7.670]], "species": ["Mg", "Nb", "Nb", "Nb", "Nb", "Nb", "O", "O", "O", "O", "O", "O", "O", "O", "O"], "fractional_positions": [[0.000, 0.000, 0.000], [0.000, 0.000, 0.500], [0.333, 0.667, 0.032], [0.333, 0.667, 0.660], [0.667, 0.333, 0.340], [0.667, 0.333, 0.968], [0.000, 0.500, 0.500], [0.172, 0.344, 0.847], [0.172, 0.828, 0.847], [0.344, 0.172, 0.153], [0.500, 0.000, 0.500], [0.500, 0.500, 0.500], [0.656, 0.828, 0.847], [0.828, 0.172, 0.153], [0.828, 0.656, 0.153]], "e_form_raw_ev_per_atom": -1.647, "dos_ef_per_ev_fu": 11.04, "vol_a3_per_cell": 194.4, "final_energy_ev_per_atom": -8.085}

***

Record 9
{"formula": "TcHRhW2", "functional": "PBE-GGA", "state": "optimized geometry", "lattice_angstrom": [[4.013, 0.000, 0.000], [0.000, 4.013, 0.000], [0.000, 0.000, 3.903]], "species": ["Tc", "H", "Rh", "W", "W"], "fractional_positions": [[0.000, 0.000, 0.000], [0.000, 0.000, 0.500], [0.500, 0.500, 0.000], [0.000, 0.500, 0.500], [0.500, 0.000, 0.500]], "dos_ef_per_ev_fu": 3.21, "vol_a3_per_cell": 62.9, "e_above_lowest_polymorph_ev_per_atom": 0.000, "final_energy_ev_per_atom": -9.367}

***

Record 10
{"formula": "Tl2SbP", "functional": "PBE-GGA", "state": "optimized geometry", "lattice_angstrom": [[0.000, 3.742, 3.742], [3.742, 0.000, 3.742], [3.742, 3.742, 0.000]], "species": ["Tl", "Tl", "Sb", "P"], "fractional_positions": [[0.250, 0.250, 0.250], [0.750, 0.750, 0.750], [0.000, 0.000, 0.000], [0.500, 0.500, 0.500]], "e_form_raw_ev_per_atom": 0.420, "dos_ef_per_ev_fu": 3.31, "vol_a3_per_cell": 104.8, "e_above_lowest_polymorph_ev_per_atom": 0.342, "final_energy_ev_per_atom": -3.146}

***

Record 11
{"formula": "MgSc2Re", "functional": "PBE-GGA", "state": "optimized geometry", "lattice_angstrom": [[1.691, -2.364, 0.000], [1.691, 2.364, 0.000], [0.000, 0.000, 9.860]], "species": ["Mg", "Sc", "Sc", "Re"], "fractional_positions": [[0.000, 0.000, 0.000], [0.000, 0.000, 0.440], [0.500, 0.500, 0.728], [0.500, 0.500, 0.224]], "dos_ef_per_ev_fu": 5.72, "vol_a3_per_cell": 78.8, "delta_e_f_ev_per_atom": 0.210, "final_energy_ev_per_atom": -6.466}

***

Record 12
{"formula": "ReSi", "functional": "PBE-GGA", "state": "optimized geometry", "lattice_angstrom": [[4.266, 0.000, 0.000], [-2.133, 3.694, 0.000], [0.000, 0.000, 7.471]], "species": ["Re", "Re", "Re", "Re", "Si", "Si", "Si", "Si"], "fractional_positions": [[0.333, 0.667, 0.079], [0.333, 0.667, 0.421], [0.667, 0.333, 0.579], [0.667, 0.333, 0.921], [0.000, 0.000, 0.250], [0.000, 0.000, 0.750], [0.333, 0.667, 0.750], [0.667, 0.333, 0.250]], "e_form_raw_ev_per_atom": 0.354, "dos_ef_per_ev_fu": 1.43, "vol_a3_per_cell": 117.7, "final_energy_ev_per_atom": -8.582}

***

Repeat the first record exactly.
{"formula": "RbBaTeBr", "functional": "PBE-GGA", "state": "optimized geometry", "lattice_angstrom": [[2.516, 1.452, 8.262], [-2.516, 1.452, 8.262], [0.000, -2.905, 8.262]], "species": ["Rb", "Ba", "Te", "Br"], "fractional_positions": [[0.000, 0.000, 0.000], [0.494, 0.494, 0.494], [0.756, 0.756, 0.756], [0.240, 0.240, 0.240]], "e_form_raw_ev_per_atom": -1.686, "dos_ef_per_ev_fu": 0.00, "vol_a3_per_cell": 181.1, "final_energy_ev_per_atom": -3.612}